Record 1
# YZrPO2

YZrPO2 after structural relaxation (PBE, Alexandria via LeMat-Bulk).

Lattice parameters (Å, degrees): 4.1502 4.1502 5.5244 90.00 90.00 90.00
Closest atoms and distances in Å follow each position.
Atoms (fractional coordinates):
O 0.0000 0.5000 0.0000  2 Y 2.08
O 0.5000 0.0000 0.0000  2 Y 2.08
Y 0.0000 0.0000 0.0000  4 O 2.08
Zr 0.5000 0.5000 0.5000  4 P 2.93
P 0.0000 0.0000 0.5000  2 Y 2.76, 4 Zr 2.93

## Properties
Density   4.24 Mg/m³
ΔE to the lowest computed polymorph   4.70 eV/f.u.
Spin magnetization   0.28 Bohr magnetons per cell


Record 2
# YbPO2

YbPO2 after structural relaxation (PBE, Alexandria via LeMat-Bulk).

Lattice parameters (Å, degrees): 7.2772 7.2772 7.2772 129.61 129.61 74.03
Closest atoms and distances in Å follow each position.
Atoms (fractional coordinates):
O 0.5784 0.8522 0.2738  2 P 2.16, 3 Yb 2.36-2.37
Yb 0.3750 0.1250 0.7500  6 O 2.36-2.37
O 0.1716 0.3978 0.2262  2 P 2.16, 3 Yb 2.36-2.37
O 0.1716 0.9454 0.7738  2 P 2.16, 3 Yb 2.36-2.37
Yb 0.8750 0.6250 0.2500  6 O 2.36-2.37
Yb 0.3750 0.6250 0.2500  6 O 2.36-2.37
P 0.3750 0.1250 0.2500  4 O 2.16
O 0.6022 0.8284 0.7738  2 P 2.16, 3 Yb 2.36-2.37
O 0.1478 0.4216 0.7262  2 P 2.16, 3 Yb 2.36-2.37
P 0.8750 0.1250 0.7500  4 O 2.16
O 0.6954 0.4216 0.2738  2 P 2.16, 3 Yb 2.36-2.37
P 0.8750 0.6250 0.7500  4 O 2.16
O 0.5784 0.3046 0.7262  2 P 2.16, 3 Yb 2.36-2.37
Yb 0.3750 0.6250 0.7500  6 O 2.36-2.37
P 0.8750 0.1250 0.2500  4 O 2.16
O 0.0546 0.8284 0.2262  2 P 2.16, 3 Yb 2.36-2.37

## Properties
Density   7.03 Mg/m³
Spin magnetization   1.22 Bohr magnetons per cell


Record 3
# YbPO4

YbPO4 after structural relaxation (PBE, Alexandria via LeMat-Bulk).

Lattice parameters (Å, degrees): 6.6493 6.6493 6.6493 136.85 136.85 62.67
Closest atoms and distances in Å follow each position.
Atoms (fractional coordinates):
O 0.0641 0.2030 0.6205  1 P 1.56
P 0.0000 0.0000 0.0000  4 O 1.56
O 0.9530 0.8325 0.6390  1 P 1.56
O 0.7970 0.4175 0.8610  1 P 1.56
O 0.5565 0.9359 0.1390  1 P 1.56
O 0.1675 0.8065 0.1205  1 P 1.56
P 0.7500 0.2500 0.5000  4 O 1.56
O 0.6859 0.0470 0.8795  1 P 1.56
O 0.5825 0.4435 0.3795  1 P 1.56
Yb 0.5000 0.5000 0.0000  8 O 2.40-2.45
O 0.1935 0.3141 0.3610  1 P 1.56
Yb 0.2500 0.7500 0.5000  8 O 2.40-2.45

## Properties
Density   6.55 Mg/m³
Spin magnetization   2.11 Bohr magnetons per cell


Record 4
# Zn2PO2

Zn2PO2 after structural relaxation (PBE, Alexandria via LeMat-Bulk).

Lattice parameters (Å, degrees): 4.1614 4.1614 5.0121 65.47 65.47 90.00
Closest atoms and distances in Å follow each position.
Atoms (fractional coordinates):
Zn 0.2500 0.7500 0.5000  4 O 2.08
Zn 0.7500 0.2500 0.5000  4 O 2.08
P 0.0000 0.0000 0.0000  2 O 2.08
O 0.7435 0.7435 0.5131  4 Zn 2.08, 1 P 2.08
O 0.2565 0.2565 0.4869  4 Zn 2.08, 1 P 2.08

## Properties
Density   4.58 Mg/m³
ΔE to the lowest computed polymorph   0.00 eV/f.u.
Spin magnetization   0.41 Bohr magnetons per cell


no.,ΔE_f (raw) (eV per atom)
1,-1.2623
2,-1.4438
3,-2.5864
4,-0.4066